Entry 1:
Computed, not measured: a relaxed structure of SrTaI2 at the PBE-GGA level of DFT.

Summary:
- uncorrected formation energy (meV per atom) = 332
- calculated total energy (eV/atom) = -3.83
- E above lowest polymorph (eV per formula unit) = 0.016
- symmetry = No. 225

a b c (Å): 5.343 5.343 5.343
angles (deg): 60.00 60.00 60.00
Last column: magnetic moment on the atom in μB.
Positions (direct):
Sr 0.000 0.000 0.000  0.01
I 0.250 0.250 0.250  0.00
I 0.750 0.750 0.750  0.00
Ta 0.500 0.500 0.500  0.47

Entry 2:
Computed, not measured: a relaxed structure of Y2ErSb at the PBE-GGA level of DFT.

Summary:
- uncorrected formation energy (meV per atom) = -574
- calculated total energy (eV/atom) = -5.98
- E above lowest polymorph (eV per formula unit) = 0.000
- symmetry = No. 63

a b c (Å): 4.109 6.467 9.497
angles (deg): 90.00 90.00 108.53
Positions (direct):
Y 0.636 0.271 0.048
Y 0.636 0.271 0.452
Y 0.364 0.729 0.952
Y 0.364 0.729 0.548
Er 0.061 0.121 0.750
Er 0.939 0.879 0.250
Sb 0.757 0.515 0.750
Sb 0.243 0.485 0.250

Q: What is the formula in the second record?
A: Y2ErSb

Q: Which value of calculated total energy does entry 2 give?
A: -5.98 eV/atom

Q: Among the records above, which one has the highest calculated total energy?
A: SrTaI2